Model w:
Density functional theory data (PBE) for a geometry-optimized Cu2Sn2As structure.

Computed properties:
SG = P4/mbm, No. 127

Unit cell a=6.908 b=6.908 c=4.056 alpha=90.00 beta=90.00 gamma=90.00
Positions (direct):
Cu (0.129, 0.371, 0.000)
Cu (0.371, 0.871, 0.000)
Cu (0.629, 0.129, 0.000)
Cu (0.871, 0.629, 0.000)
Sn (0.173, 0.673, 0.500)
Sn (0.327, 0.173, 0.500)
Sn (0.673, 0.827, 0.500)
Sn (0.827, 0.327, 0.500)
As (0.000, 0.000, 0.000)
As (0.500, 0.500, 0.000)

Model x:
Density functional theory data (PBE) for a geometry-optimized Cu2Sn2As structure.

Computed properties:
SG = P4/mbm, No. 127

Unit cell a=8.161 b=8.161 c=2.962 alpha=90.00 beta=90.00 gamma=90.00
Positions (direct):
Cu (0.105, 0.395, 0.000)
Cu (0.395, 0.895, 0.000)
Cu (0.605, 0.105, 0.000)
Cu (0.895, 0.605, 0.000)
Sn (0.191, 0.691, 0.500)
Sn (0.309, 0.191, 0.500)
Sn (0.691, 0.809, 0.500)
Sn (0.809, 0.309, 0.500)
As (0.000, 0.000, 0.500)
As (0.500, 0.500, 0.500)

Most stable to least stable: model w, model x

Model w:
Density functional theory data (PBE) for a geometry-optimized CuSnAs structure.

Computed properties:
SG = P3m1, No. 156

Unit cell a=4.104 b=4.104 c=4.358 alpha=90.00 beta=90.00 gamma=120.00
Positions (direct):
Cu (0.000, 0.000, 0.000)
Sn (0.667, 0.333, 0.620)
As (0.333, 0.667, 0.101)

Model x:
Density functional theory data (PBE) for a geometry-optimized CuSnAs structure.

Computed properties:
SG = F-43m, No. 216

Unit cell a=4.446 b=4.446 c=4.446 alpha=60.00 beta=60.00 gamma=60.00
Positions (direct):
Cu (0.000, 0.000, 0.000)
Sn (0.750, 0.750, 0.750)
As (0.250, 0.250, 0.250)

Most stable to least stable: model w, model x

Model w:
Density functional theory data (PBE) for a geometry-optimized CuSnAs structure.

Computed properties:
SG = Pnma, No. 62

Unit cell a=8.613 b=4.414 c=6.645 alpha=90.00 beta=90.00 gamma=90.00
Positions (direct):
Cu (0.215, 0.250, 0.031)
Cu (0.285, 0.750, 0.531)
Cu (0.715, 0.250, 0.469)
Cu (0.785, 0.750, 0.969)
Sn (0.006, 0.750, 0.264)
Sn (0.494, 0.250, 0.764)
Sn (0.506, 0.750, 0.236)
Sn (0.994, 0.250, 0.736)
As (0.206, 0.250, 0.395)
As (0.294, 0.750, 0.895)
As (0.706, 0.250, 0.105)
As (0.794, 0.750, 0.605)

Model x:
Density functional theory data (PBE) for a geometry-optimized CuSnAs structure.

Computed properties:
SG = P2_1/c, No. 14

Unit cell a=6.080 b=6.694 c=6.803 alpha=90.00 beta=105.62 gamma=90.00
Positions (direct):
Cu (0.233, 0.136, 0.237)
Cu (0.233, 0.364, 0.737)
Cu (0.767, 0.636, 0.263)
Cu (0.767, 0.864, 0.763)
Sn (0.423, 0.716, 0.893)
Sn (0.423, 0.784, 0.393)
Sn (0.577, 0.216, 0.607)
Sn (0.577, 0.284, 0.107)
As (0.130, 0.044, 0.866)
As (0.130, 0.456, 0.366)
As (0.870, 0.544, 0.634)
As (0.870, 0.956, 0.134)

Most stable to least stable: model w, model x

Model w:
Density functional theory data (PBE) for a geometry-optimized SrCuAs3 structure.

Computed properties:
SG = Pm-3m, No. 221

Unit cell a=5.616 b=5.616 c=5.616 alpha=90.00 beta=90.00 gamma=90.00
Positions (direct):
Sr (0.000, 0.000, 0.000)
Cu (0.500, 0.500, 0.500)
As (0.000, 0.000, 0.500)
As (0.000, 0.500, 0.000)
As (0.500, 0.000, 0.000)

Model x:
Density functional theory data (PBE) for a geometry-optimized SrCuAs3 structure.

Computed properties:
SG = Pm-3m, No. 221

Unit cell a=4.869 b=4.869 c=4.869 alpha=90.00 beta=90.00 gamma=90.00
Positions (direct):
Sr (0.000, 0.000, 0.000)
Cu (0.500, 0.500, 0.500)
As (0.000, 0.500, 0.500)
As (0.500, 0.000, 0.500)
As (0.500, 0.500, 0.000)

Most stable to least stable: model x, model w